Entry 1:
Computed, not measured: an optimized crystal structure of Y3AsPd at the GGA-PBE level of DFT.

Cell lengths 5.350, 5.350, 5.350 Å; angles 90.00, 90.00, 90.00 degrees
Sites, in units of the cell vectors:
Y1 0.000 0.000 0.500
Y2 0.000 0.500 0.000
Y3 0.500 0.000 0.000
As1 0.500 0.500 0.500
Pd1 0.000 0.000 0.000

Calculated values
Uncorrected energy = -30.65 eV for the cell shown
E above lowest polymorph = 0.000 eV/atom
ΔH_f (0 K) = -0.28 eV per atom

=====

Entry 2:
Computed, not measured: an optimized crystal structure of Tb3CuP2Pt9 at the GGA-PBE level of DFT.

Cell lengths 5.664, 5.664, 10.566 Å; angles 90.00, 90.00, 120.00 degrees
Sites, in units of the cell vectors:
Tb1 0.000 0.000 0.000
Tb2 0.333 0.667 0.579
Tb3 0.667 0.333 0.421
Cu1 0.000 0.000 0.500
P1 0.333 0.667 0.163
P2 0.667 0.333 0.837
Pt1 0.000 0.500 0.000
Pt2 0.163 0.327 0.316
Pt3 0.163 0.837 0.316
Pt4 0.327 0.163 0.684
Pt5 0.500 0.000 0.000
Pt6 0.500 0.500 0.000
Pt7 0.673 0.837 0.316
Pt8 0.837 0.163 0.684
Pt9 0.837 0.673 0.684

Calculated values
Uncorrected energy = -94.91 eV for the cell shown
ΔH_f (0 K) = -0.78 eV per atom

=====

Entry 3:
Computed, not measured: an optimized crystal structure of TaPOsCl2 at the GGA-PBE level of DFT.

Cell lengths 4.760, 4.760, 4.576 Å; angles 90.00, 90.00, 90.00 degrees
Sites, in units of the cell vectors:
Ta1 0.000 0.000 0.000
P1 0.500 0.500 0.000
Os1 0.500 0.500 0.500
Cl1 0.000 0.500 0.500
Cl2 0.500 0.000 0.500

Calculated values
Uncorrected energy = -26.14 eV for the cell shown
E above lowest polymorph = 0.171 eV/atom
Energy relative to the elements, uncorrected = 116.7 kJ/mol of atoms

=====

Q: What is the uncorrected energy in the second record?
A: -94.91 eV for the cell shown